Record 1
Computed, not measured: a PBEsol-optimized structure of Tl3RePd at the meta-GGA SCAN level of DFT.

Cell and atoms, written as CIF:
```
data_Tl3RePd
_chemical_formula_sum 'Tl3 Re1 Pd1'
_cell_length_a 5.1811
_cell_length_b 5.1811
_cell_length_c 5.1811
_cell_angle_alpha 90.00
_cell_angle_beta 90.00
_cell_angle_gamma 90.00
_symmetry_space_group_name_H-M 'P m -3 m'
_symmetry_Int_Tables_number 221
_symmetry_space_group_name_Hall '-P 4 2 3'
loop_
_atom_site_label
_atom_site_fract_x
_atom_site_fract_y
_atom_site_fract_z
Tl1 0.0000 0.0000 0.5000
Re1 0.0000 0.0000 0.0000
Pd1 0.5000 0.5000 0.5000
```

Properties
total energy	-63.2235	eV per atom
DOS(E_F)	2.198	states/eV/cell
energy of formation	0.966	eV per atom

Record 2
Computed, not measured: a PBEsol-optimized structure of TlRePd3 at the meta-GGA SCAN level of DFT.

Cell and atoms, written as CIF:
```
data_TlRePd3
_chemical_formula_sum 'Tl1 Re1 Pd3'
_cell_length_a 4.8685
_cell_length_b 4.8685
_cell_length_c 4.8685
_cell_angle_alpha 90.00
_cell_angle_beta 90.00
_cell_angle_gamma 90.00
_symmetry_space_group_name_H-M 'P m -3 m'
_symmetry_Int_Tables_number 221
_symmetry_space_group_name_Hall '-P 4 2 3'
loop_
_atom_site_label
_atom_site_fract_x
_atom_site_fract_y
_atom_site_fract_z
Tl1 0.0000 0.0000 0.0000
Re1 0.5000 0.5000 0.5000
Pd1 0.0000 0.0000 0.5000
```

Properties
total energy	-46.5195	eV per atom
DOS(E_F)	2.958	states/eV/cell
energy of formation	1.836	eV per atom